*one*
Here is an optimized crystal structure of Ca2CdCoN from the Alexandria database. Energies are from PBE-GGA.

The structure in extended XYZ format:
```
5
Lattice="-1.0121 2.7833 4.1881 -4.4191 -1.8894 0.1877 1.7538 -3.8085 2.9548" Properties=species:S:1:pos:R:3 pbc="T T T"
Co 0.0000 0.0000 0.0000
Ca -0.5060 1.3917 2.0941
Ca 0.8769 -1.9042 1.4774
N -1.8387 -1.4573 3.6654
Cd -2.2095 -0.9447 0.0939
```

Properties
crystal system = tetragonal
magnetization = 0.287 μB/atom

***

*two*
Here is an optimized crystal structure of Ca2CdCoN from the Alexandria database. Energies are from PBE-GGA.

The structure in extended XYZ format:
```
5
Lattice="5.1533 0.0000 0.0000 0.0000 3.5852 0.0000 0.0000 0.0000 5.1533" Properties=species:S:1:pos:R:3 pbc="T T T"
N 0.0000 0.0000 0.0000
Ca 0.0000 0.0000 2.5766
Ca 2.5766 0.0000 0.0000
Co 0.0000 1.7926 0.0000
Cd 2.5766 1.7926 2.5766
```

Properties
crystal system = tetragonal
magnetization = 0.000 μB/atom

***

Energy ordering: *two* at the bottom, the next structure 1348 meV per atom above.

***

*one*
Here is an optimized crystal structure of CaY2CdCo from the Alexandria database. Energies are from PBE-GGA.

The structure in extended XYZ format:
```
5
Lattice="5.1315 0.0000 0.0000 0.0000 5.1315 0.0000 0.0000 0.0000 5.2412" Properties=species:S:1:pos:R:3 pbc="T T T"
Y 2.5658 0.0000 0.0000
Y 0.0000 2.5658 0.0000
Cd 0.0000 0.0000 2.6206
Co 0.0000 0.0000 0.0000
Ca 2.5658 2.5658 2.6206
```

Properties
crystal system = tetragonal
magnetization = 0.000 μB/atom

***

*two*
Here is an optimized crystal structure of CaY2CdCo from the Alexandria database. Energies are from PBE-GGA.

The structure in extended XYZ format:
```
5
Lattice="-3.7896 -0.0473 3.4903 3.1792 -2.1740 3.4223 1.5134 4.9042 1.7096" Properties=species:S:1:pos:R:3 pbc="T T T"
Ca 0.7567 2.4521 0.8548
Cd 0.4515 1.3414 4.3111
Y -1.8948 -0.0236 1.7452
Y 1.5896 -1.0870 1.7111
Co 0.0000 0.0000 0.0000
```

Properties
crystal system = tetragonal
magnetization = 0.000 μB/atom

***

Energy ordering: *one* at the bottom, the next structure 28 meV per atom above.

***

*one*
Here is an optimized crystal structure of CaCrCd3 from the Alexandria database. Energies are from PBE-GGA.

The structure in extended XYZ format:
```
5
Lattice="5.8509 0.0000 0.0000 0.0000 5.8509 0.0000 0.0000 0.0000 5.8509" Properties=species:S:1:pos:R:3 pbc="T T T"
Cr 2.9255 2.9255 2.9255
Cd 2.9255 0.0000 0.0000
Cd 0.0000 0.0000 2.9255
Cd 0.0000 2.9255 0.0000
Ca 0.0000 0.0000 0.0000
```

Properties
crystal system = cubic
magnetization = 0.989 μB/atom

***

*two*
Here is an optimized crystal structure of CaCrCd3 from the Alexandria database. Energies are from PBE-GGA.

The structure in extended XYZ format:
```
5
Lattice="5.2212 0.0000 0.0000 0.0000 5.2212 0.0000 0.0000 0.0000 5.2212" Properties=species:S:1:pos:R:3 pbc="T T T"
Cr 0.0000 0.0000 0.0000
Cd 2.6106 0.0000 0.0000
Cd 0.0000 0.0000 2.6106
Cd 0.0000 2.6106 0.0000
Ca 2.6106 2.6106 2.6106
```

Properties
crystal system = cubic
magnetization = 0.763 μB/atom

***

Energy ordering: *two* at the bottom, the next structure 710 meV per atom above.

***

*one*
Here is an optimized crystal structure of CsCa3Cd from the Alexandria database. Energies are from PBE-GGA.

The structure in extended XYZ format:
```
5
Lattice="-5.4975 -0.6464 -1.8636 1.9368 -0.7233 -5.4625 0.3737 -5.7595 0.8952" Properties=species:S:1:pos:R:3 pbc="T T T"
Cd -1.5935 -3.5646 -3.2154
Ca 0.9684 -0.3617 -2.7312
Ca -2.7487 -0.3232 -0.9318
Ca 0.1869 -2.8798 0.4476
Cs 0.0000 0.0000 0.0000
```

Properties
crystal system = cubic
magnetization = 0.000 μB/atom

***

*two*
Here is an optimized crystal structure of CsCa3Cd from the Alexandria database. Energies are from PBE-GGA.

The structure in extended XYZ format:
```
5
Lattice="-6.1441 1.0596 0.1281 -0.1562 -0.1523 -6.2323 -1.0558 -6.1436 0.1766" Properties=species:S:1:pos:R:3 pbc="T T T"
Ca -0.0781 -0.0761 -3.1162
Ca -0.5279 -3.0718 0.0883
Ca -3.0721 0.5298 0.0640
Cs -3.6781 -2.6181 -2.9638
Cd 0.0000 0.0000 0.0000
```

Properties
crystal system = cubic
magnetization = 0.000 μB/atom

***

Energy ordering: *two* at the bottom, the next structure 999 meV per atom above.